Entry 1:
{"formula": "SrSNF2", "functional": "PBE-GGA", "state": "relaxed", "formation_energy_uncorrected_kj_per_mol_atoms": -109.9, "n_ef_per_ev_atom": 0.19, "polymorph_energy_kj_per_mol_fu": 0.0, "crystal_system": "tetragonal", "cell": [[-1.4834, 4.0301, -1.9373], [-2.9204, 0.6726, 3.6352], [2.4705, 1.7112, 1.6681]], "species": ["N", "F", "Sr", "S", "F"], "frac_coords": [[0.0000, 0.0000, 0.5000], [0.5000, 0.0000, 0.0000], [0.5000, 0.5000, 0.5000], [0.0000, 0.0000, 0.0000], [0.0000, 0.5000, 0.0000]]}

***

Entry 2:
{"formula": "CsSrCa2", "functional": "PBE-GGA", "state": "relaxed", "n_ef_per_ev_atom": 1.20, "polymorph_energy_kj_per_mol_fu": 32.0, "formation_enthalpy_0k_ev_per_fu": 0.93, "crystal_system": "cubic", "cell": [[0.0000, 4.8183, 4.8183], [4.8183, 0.0000, 4.8183], [4.8183, 4.8183, 0.0000]], "species": ["Sr", "Ca", "Ca", "Cs"], "frac_coords": [[0.0000, 0.0000, 0.0000], [0.7500, 0.7500, 0.7500], [0.2500, 0.2500, 0.2500], [0.5000, 0.5000, 0.5000]]}

***

Entry 3:
{"formula": "ZrCo3P2", "functional": "PBE-GGA", "state": "relaxed", "n_ef_per_ev_atom": 0.68, "formation_enthalpy_0k_ev_per_fu": -5.35, "crystal_system": "monoclinic", "cell": [[-0.7079, -1.7029, 3.0799], [7.3534, -1.2077, -1.0697], [-0.7607, 7.8565, 4.1689]], "species": ["P", "P", "Zr", "Co", "Co", "P", "Co", "Co", "Zr", "Zr", "Co", "P", "Co", "Co", "Co", "P", "P", "Co"], "frac_coords": [[0.3606, 0.7212, 0.5454], [0.6394, 0.2788, 0.4546], [0.0000, 0.0000, 0.0000], [0.0420, 0.0840, 0.3345], [0.2180, 0.4360, 0.3918], [0.1982, 0.3965, 0.1325], [0.6216, 0.2433, 0.2051], [0.3784, 0.7567, 0.7949], [0.1534, 0.3068, 0.6930], [0.8466, 0.6932, 0.3070], [0.5000, 0.0000, 0.5000], [0.8018, 0.6035, 0.8675], [0.3218, 0.6437, 0.0360], [0.7820, 0.5640, 0.6082], [0.9580, 0.9160, 0.6655], [0.5376, 0.0753, 0.7833], [0.4624, 0.9247, 0.2167], [0.6782, 0.3563, 0.9640]]}

***

Entry 4:
{"formula": "CeHoTl", "functional": "PBE-GGA", "state": "relaxed", "n_ef_per_ev_atom": 2.23, "polymorph_energy_kj_per_mol_fu": 79.7, "formation_enthalpy_0k_ev_per_fu": 0.19, "crystal_system": "trigonal", "cell": [[-1.4767, 2.6722, -1.1157], [-4.7453, -2.5720, 0.1208], [1.6941, 2.7440, 4.3299]], "species": ["Tl", "Ho", "Ce"], "frac_coords": [[0.6680, 0.6667, 0.3333], [0.1618, 0.3333, 0.6667], [0.1702, 0.0000, 0.0000]]}